1.
CrRhW3 GGA-PBEsol optimized geometry; total DFT energy (no corrections) = -9.71 eV per atom; energy of formation = 2.25 eV/atom; DOS at the Fermi energy = 1.2204 states/eV per atom; spin magnetization = 3.17 μB per cell
1.0
4.631 0.000 0.000
0.000 4.631 0.000
0.000 0.000 4.631
Cr Rh W
1 1 3
Cartesian
2.316 2.316 2.316
0.000 0.000 0.000
0.000 2.316 0.000
0.000 0.000 2.316
2.316 0.000 0.000



2.
Cr4RhW GGA-PBEsol optimized geometry; total DFT energy (no corrections) = -10.45 eV per atom; energy of formation = 0.03 eV/atom; DOS at the Fermi energy = 0.9341 states/eV per atom; spin magnetization = 0.00 μB per cell
1.0
-3.787 2.659 -0.869
-4.292 -1.937 0.023
-3.018 1.005 3.471
Cr Rh W
4 1 1
Cartesian
-4.147 0.645 0.981
-5.671 1.153 2.735
-6.060 1.989 0.542
-6.315 -0.333 0.993
-8.323 1.295 1.969
0.000 0.000 0.000



3.
CrRh2W GGA-PBEsol optimized geometry; total DFT energy (no corrections) = -10.19 eV per atom; energy of formation = -0.11 eV/atom; DOS at the Fermi energy = 0.9152 states/eV per atom; spin magnetization = 0.00 μB per cell
1.0
2.690 0.000 0.000
0.000 4.284 0.000
0.000 0.000 4.677
Cr Rh W
1 2 1
Cartesian
1.345 2.142 0.944
0.000 0.000 0.258
0.000 2.142 3.291
1.345 0.000 2.522